K5Eu3F12: optimized geometry, PBE.

```
K5Eu3F12
1.0
12.598 0.000 0.000
-4.199 11.878 0.000
-4.199 -5.939 10.286
Eu K F
12 20 48
Direct
0.750 0.375 0.125
0.875 0.750 0.125
0.375 0.750 0.625
0.250 0.125 0.375
0.875 0.125 0.250
0.375 0.625 0.250
0.625 0.375 0.750
0.125 0.875 0.750
0.750 0.875 0.625
0.625 0.250 0.375
0.125 0.250 0.875
0.250 0.625 0.875
0.125 0.375 0.250
0.000 0.500 0.000
0.000 0.000 0.000
0.375 0.250 0.125
0.500 0.000 0.500
0.500 0.500 0.000
0.125 0.750 0.375
0.750 0.125 0.875
0.750 0.625 0.375
0.375 0.125 0.750
0.625 0.875 0.250
0.500 0.500 0.500
0.500 0.000 0.000
0.000 0.000 0.500
0.250 0.375 0.625
0.250 0.875 0.125
0.000 0.500 0.500
0.875 0.250 0.625
0.625 0.750 0.875
0.875 0.625 0.750
0.740 0.137 0.069
0.329 0.569 0.432
0.931 0.363 0.260
0.569 0.240 0.137
0.603 0.740 0.671
0.931 0.568 0.171
0.329 0.760 0.397
0.068 0.897 0.137
0.568 0.931 0.671
0.740 0.603 0.171
0.760 0.431 0.363
0.829 0.932 0.069
0.137 0.740 0.569
0.363 0.432 0.103
0.103 0.932 0.363
0.397 0.137 0.568
0.103 0.171 0.240
0.431 0.671 0.068
0.829 0.897 0.260
0.137 0.397 0.068
0.363 0.931 0.760
0.568 0.637 0.397
0.932 0.829 0.569
0.760 0.329 0.897
0.432 0.363 0.603
0.068 0.171 0.431
0.240 0.671 0.103
0.171 0.103 0.740
0.637 0.069 0.240
0.863 0.603 0.932
0.569 0.329 0.932
0.603 0.863 0.432
0.897 0.829 0.760
0.897 0.068 0.637
0.863 0.260 0.431
0.171 0.068 0.931
0.637 0.568 0.897
0.432 0.069 0.329
0.260 0.397 0.829
0.240 0.569 0.637
0.932 0.103 0.863
0.671 0.240 0.603
0.431 0.760 0.863
0.069 0.432 0.829
0.397 0.260 0.329
0.069 0.637 0.740
0.671 0.431 0.568
0.260 0.863 0.931
```

Computed properties:
Total DFT energy (no corrections)   -487.4 eV/cell
Size of the total moment   80.0 μB/cell
SG   No. 230
Formation energy (no corrections)   -72.74 kcal/mol of atoms

K5Li2EuF10: optimized geometry, PBE.

```
K5Li2EuF10
1.0
-5.055 -4.452 -1.851
4.382 -2.480 -5.999
8.433 -14.658 12.220
K Li Eu F
20 8 4 40
Direct
0.747 0.478 0.457
0.753 0.022 0.957
0.253 0.978 0.543
0.247 0.522 0.043
0.253 0.522 0.543
0.247 0.978 0.043
0.747 0.022 0.457
0.753 0.478 0.957
0.566 0.525 0.283
0.934 0.975 0.783
0.434 0.025 0.717
0.066 0.475 0.217
0.434 0.475 0.717
0.066 0.025 0.217
0.566 0.975 0.283
0.934 0.525 0.783
0.062 0.750 0.361
0.438 0.750 0.861
0.938 0.250 0.639
0.562 0.250 0.139
0.031 0.750 0.922
0.469 0.750 0.422
0.969 0.250 0.078
0.531 0.250 0.578
0.160 0.750 0.673
0.340 0.750 0.173
0.840 0.250 0.327
0.660 0.250 0.827
0.759 0.750 0.107
0.741 0.750 0.607
0.241 0.250 0.893
0.259 0.250 0.393
0.952 0.750 0.009
0.548 0.750 0.509
0.048 0.250 0.991
0.452 0.250 0.491
0.548 0.750 0.019
0.952 0.750 0.519
0.452 0.250 0.981
0.048 0.250 0.481
0.840 0.460 0.090
0.660 0.040 0.590
0.160 0.960 0.910
0.340 0.540 0.410
0.160 0.540 0.910
0.340 0.960 0.410
0.840 0.040 0.090
0.660 0.460 0.590
0.497 0.575 0.146
0.003 0.925 0.646
0.503 0.075 0.854
0.997 0.425 0.354
0.503 0.425 0.854
0.997 0.075 0.354
0.497 0.925 0.146
0.003 0.575 0.646
0.804 0.750 0.216
0.696 0.750 0.716
0.196 0.250 0.784
0.304 0.250 0.284
0.686 0.750 0.372
0.814 0.750 0.872
0.314 0.250 0.628
0.186 0.250 0.128
0.213 0.750 0.759
0.287 0.750 0.259
0.787 0.250 0.241
0.713 0.250 0.741
0.397 0.750 0.631
0.103 0.750 0.131
0.603 0.250 0.369
0.897 0.250 0.869
```

Computed properties:
Total DFT energy (no corrections)   -366.8 eV/cell
Size of the total moment   24.0 μB/cell
SG   No. 62
Formation energy (no corrections)   -68.42 kcal/mol of atoms

Question: What is the total DFT energy (no corrections) in the first record?
Answer: -487.4 eV/cell

Question: Number 1 is which compound?
Answer: K5Eu3F12

Question: Which formula does entry 1 have?
Answer: K5Eu3F12

Question: What is the formula in the first record?
Answer: K5Eu3F12